Record 1
First-principles (meta-GGA SCAN) data for BaYTa at its PBEsol-relaxed geometry, as listed in Alexandria.

Lattice parameters (Å, degrees): 3.332 3.332 8.817 90.00 90.00 120.00
Sites, in units of the cell vectors:
Y 0.667 0.333 0.379
Ta 0.333 0.667 0.649
Ba 0.000 0.000 0.973

Results
The value obtained for the energy of formation is 857 meV/atom. The calculation puts the energy above the most stable polymorph in this dataset at 0.135 eV/atom. For the total energy, the calculation gives -43.802 eV per atom. The calculated volume is 28.25 Å³/atom. The crystal system is trigonal. The value obtained for the density of states at the Fermi level is 1.127 states/eV per atom.



Record 2
First-principles (meta-GGA SCAN) data for Ba2YTa at its PBEsol-relaxed geometry, as listed in Alexandria.

Lattice parameters (Å, degrees): 3.369 5.376 6.981 90.00 90.00 90.00
Sites, in units of the cell vectors:
Ba 0.000 0.000 0.767
Ba 0.000 0.000 0.233
Ta 0.500 0.500 0.000
Y 0.500 0.500 0.500

Results
The value obtained for the energy of formation is 1087 meV/atom. The calculation puts the energy above the most stable polymorph in this dataset at 0.073 eV/atom. For the total energy, the calculation gives -42.294 eV per atom. The calculated volume is 31.60 Å³/atom. The crystal system is orthorhombic. The value obtained for the density of states at the Fermi level is 1.686 states/eV per atom.



Record 3
First-principles (meta-GGA SCAN) data for BaTa3Zn at its PBEsol-relaxed geometry, as listed in Alexandria.

Lattice parameters (Å, degrees): 5.003 5.003 5.003 90.00 90.00 90.00
Sites, in units of the cell vectors:
Ba 0.000 0.000 0.000
Ta 0.500 0.000 0.000
Ta 0.000 0.500 0.000
Ta 0.000 0.000 0.500
Zn 0.500 0.500 0.500

Results
The value obtained for the energy of formation is 3190 meV/atom. For the total energy, the calculation gives -47.373 eV per atom. The calculated volume is 25.05 Å³/atom. The crystal system is cubic. The value obtained for the density of states at the Fermi level is 0.669 states/eV per atom.



Record 4
First-principles (meta-GGA SCAN) data for BaTaZn2 at its PBEsol-relaxed geometry, as listed in Alexandria.

Lattice parameters (Å, degrees): 3.304 5.340 5.941 116.70 106.14 90.00
Sites, in units of the cell vectors:
Zn 0.713 0.713 0.427
Ba 0.500 0.000 0.000
Zn 0.287 0.287 0.573
Ta 0.000 0.500 0.000

Results
The value obtained for the energy of formation is 770 meV/atom. For the total energy, the calculation gives -32.521 eV per atom. The calculated volume is 22.25 Å³/atom. The crystal system is orthorhombic. The value obtained for the density of states at the Fermi level is 0.605 states/eV per atom.



Record 5
First-principles (meta-GGA SCAN) data for BaTa2Zn at its PBEsol-relaxed geometry, as listed in Alexandria.

Lattice parameters (Å, degrees): 2.845 5.924 5.867 120.32 90.00 90.00
Sites, in units of the cell vectors:
Ba 0.500 0.500 0.000
Zn 0.500 0.000 0.000
Ta 0.000 0.000 0.500
Ta 0.000 0.500 0.500

Results
The value obtained for the energy of formation is 1230 meV/atom. For the total energy, the calculation gives -45.328 eV per atom. The calculated volume is 21.34 Å³/atom. The crystal system is orthorhombic. The value obtained for the density of states at the Fermi level is 0.939 states/eV per atom.



Record 6
First-principles (meta-GGA SCAN) data for BaTa2Zn at its PBEsol-relaxed geometry, as listed in Alexandria.

Lattice parameters (Å, degrees): 4.217 4.217 5.603 112.11 112.11 90.00
Sites, in units of the cell vectors:
Ta 0.250 0.750 0.500
Ta 0.750 0.250 0.500
Zn 0.500 0.500 0.000
Ba 0.000 0.000 0.000

Results
The value obtained for the energy of formation is 1192 meV/atom. For the total energy, the calculation gives -45.366 eV per atom. The calculated volume is 21.09 Å³/atom. The crystal system is tetragonal. The value obtained for the density of states at the Fermi level is 1.140 states/eV per atom.



Q: The lowest energy of formation belongs to which entry?
A: BaTaZn2